Compound: Ni2Ge3
Source: Alexandria via LeMat-Bulk
Functional: PBE-GGA
Structure: optimized geometry

```
Ni2Ge3
1.0
2.9612 1.7096 5.2506
-2.9612 1.7096 5.2506
0.0000 -3.4193 5.2506
Ni Ge
4 6
direct
0.1695 0.1695 0.1695
0.3305 0.3305 0.3305
0.6695 0.6695 0.6695
0.8305 0.8305 0.8305
0.1007 0.7500 0.3993
0.2500 0.6007 0.8993
0.3993 0.1007 0.7500
0.6007 0.8993 0.2500
0.7500 0.3993 0.1007
0.8993 0.2500 0.6007
```

Output
The value obtained for the magnetic moment is 0.0 μB/cell. The density of states at the Fermi level is 5.9 states/eV/cell. The energy comes out at -5.22 eV/atom.